The following is a DFT calculation (GGA-PBE) of a geometry-optimized Be3Se structure.

Cell: 4.431 4.431 4.431 Å, 90.00 90.00 90.00°
Sites, in units of the cell vectors:
Be: 0.000 0.000 0.500
Be: 0.000 0.500 0.000
Be: 0.500 0.000 0.000
Se: 0.000 0.000 0.000

Results
Fermi-level density of states: 3.76 states/eV/f.u.
raw formation energy: 1.6102 eV/atom
offset from the most stable computed form: 1.558 eV/atom
crystal system: cubic
E: -8.22 eV/cell